Sc4Ir | PBE-GGA | relaxed

## Properties
E above lowest polymorph ... 0.0 meV/atom
Space-group type ... I-42d, No. 122
ΔH_f (0 K) ... -394.6 meV/atom
Raw total energy ... -36.2 eV per formula unit

Lattice parameters (Å, degrees): 6.758 6.758 6.762 106.48 106.48 115.62
Positions (direct):
Sc  0.640  0.475  0.778
Sc  0.697  0.863  0.222
Sc  0.798  0.021  0.835
Sc  0.186  0.963  0.165
Sc  0.271  0.548  0.335
Sc  0.213  0.936  0.665
Sc  0.113  0.447  0.722
Sc  0.725  0.390  0.278
Ir  0.330  0.330  0.000
Ir  0.580  0.080  0.500

---

Th6Te3Os2Se | PBE-GGA | relaxed

## Properties
Space-group type ... C2/m, No. 12
Raw formation energy ... -1.027 eV per atom
Raw total energy ... -92.2 eV per formula unit

Lattice parameters (Å, degrees): 7.422 7.422 7.926 98.95 98.95 119.92
Positions (direct):
Th  0.930  0.571  0.793
Th  0.710  0.710  0.205
Th  0.070  0.429  0.207
Th  0.571  0.930  0.793
Th  0.290  0.290  0.795
Th  0.429  0.070  0.207
Te  0.158  0.842  0.500
Te  0.842  0.158  0.500
Te  0.500  0.500  0.500
Os  0.332  0.668  0.000
Os  0.668  0.332  0.000
Se  0.000  0.000  0.000

---

Zr3NiAs2 | PBE-GGA | relaxed

## Properties
Space-group type ... Pnma, No. 62
ΔH_f (0 K) ... -936.9 meV/atom
Raw total energy ... -46.3 eV per formula unit

Lattice parameters (Å, degrees): 3.807 10.576 10.871 90.00 90.00 90.00
Positions (direct):
Zr  0.250  0.380  0.049
Zr  0.750  0.620  0.951
Zr  0.750  0.880  0.451
Zr  0.250  0.120  0.549
Zr  0.250  0.710  0.214
Zr  0.750  0.290  0.786
Zr  0.750  0.210  0.286
Zr  0.250  0.790  0.714
Zr  0.250  0.436  0.379
Zr  0.750  0.564  0.621
Zr  0.750  0.936  0.121
Zr  0.250  0.064  0.879
Ni  0.250  0.124  0.128
Ni  0.750  0.876  0.872
Ni  0.750  0.624  0.372
Ni  0.250  0.376  0.628
As  0.250  0.690  0.478
As  0.750  0.310  0.522
As  0.750  0.190  0.022
As  0.250  0.810  0.978
As  0.250  0.000  0.309
As  0.750  0.000  0.691
As  0.750  0.500  0.191
As  0.250  0.500  0.809

---

PmY3Th2 | PBE-GGA | relaxed

## Properties
E above lowest polymorph ... 0.0 meV/atom
Space-group type ... P2_1/m, No. 11
ΔH_f (0 K) ... 90.3 meV/atom
Raw total energy ... -38.4 eV per formula unit

Lattice parameters (Å, degrees): 3.635 8.603 12.612 88.83 90.00 90.00
Positions (direct):
Pm  0.250  0.814  0.752
Pm  0.750  0.186  0.248
Y  0.750  0.096  0.606
Y  0.250  0.904  0.394
Y  0.750  0.603  0.247
Y  0.250  0.397  0.753
Y  0.250  0.347  0.043
Y  0.750  0.653  0.957
Th  0.250  0.363  0.445
Th  0.750  0.637  0.555
Th  0.750  0.087  0.894
Th  0.250  0.913  0.106

---

SrGa2Ge2 | PBE-GGA | relaxed

## Properties
Space-group type ... I4/mmm, No. 139
ΔH_f (0 K) ... -299.8 meV/atom
Raw total energy ... -18.5 eV per formula unit

Lattice parameters (Å, degrees): 4.465 4.465 6.570 70.13 70.13 90.00
Positions (direct):
Sr  0.000  0.000  0.000
Ge  0.379  0.379  0.242
Ge  0.621  0.621  0.758
Ga  0.750  0.250  0.500
Ga  0.250  0.750  0.500

---

CoPbI5 | PBE-GGA | relaxed

## Properties
Space-group type ... P-1, No. 2
Raw formation energy ... -0.213 eV per atom
Raw total energy ... -20.1 eV per formula unit

Lattice parameters (Å, degrees): 8.137 8.139 11.708 111.17 111.18 86.53
Site moments in Bohr magnetons follow the coordinates.
Positions (direct):
Co  0.902  0.598  0.250  2.39
Co  0.098  0.402  0.750  2.39
Pb  0.500  0.000  0.000  0.03
Pb  0.500  0.000  0.500  0.03
I  0.752  0.685  0.053  0.21
I  0.234  0.641  0.323  0.23
I  0.388  0.111  0.250  0.09
I  0.816  0.749  0.448  0.21
I  0.184  0.251  0.552  0.21
I  0.859  0.266  0.177  0.23
I  0.141  0.734  0.823  0.23
I  0.612  0.889  0.750  0.09
I  0.766  0.359  0.677  0.23
I  0.248  0.315  0.947  0.21

---

Nb5Ru4Rh | PBE-GGA | relaxed

## Properties
Space-group type ... P4/mmm, No. 123
ΔH_f (0 K) ... -220.5 meV/atom
Raw total energy ... -97.0 eV per formula unit

Lattice parameters (Å, degrees): 3.031 3.031 17.640 90.00 90.00 90.00
Positions (direct):
Nb  0.500  0.500  0.105
Nb  0.500  0.500  0.302
Nb  0.500  0.500  0.500
Nb  0.500  0.500  0.698
Nb  0.500  0.500  0.895
Ru  0.000  0.000  0.208
Ru  0.000  0.000  0.395
Ru  0.000  0.000  0.605
Ru  0.000  0.000  0.792
Rh  0.000  0.000  0.000

---

CuTcI2 | PBE-GGA | relaxed

## Properties
E above lowest polymorph ... 221.3 meV/atom
Space-group type ... Fm-3m, No. 225
Raw formation energy ... 0.896 eV per atom
Raw total energy ... -14.0 eV per formula unit

Lattice parameters (Å, degrees): 4.862 4.862 4.862 60.00 60.00 60.00
Positions (direct):
I  0.250  0.250  0.250
I  0.750  0.750  0.750
Tc  0.500  0.500  0.500
Cu  0.000  0.000  0.000

---

PuHfMnCu | PBE-GGA | relaxed

## Properties
Space-group type ... F-43m, No. 216
ΔH_f (0 K) ... 79.2 meV/atom
Raw total energy ... -37.2 eV per formula unit

Lattice parameters (Å, degrees): 4.685 4.685 4.685 60.00 60.00 60.00
Site moments in Bohr magnetons follow the coordinates.
Positions (direct):
Mn  0.750  0.750  0.750  -2.58
Hf  0.500  0.500  0.500  0.42
Cu  0.250  0.250  0.250  0.04
Pu  0.000  0.000  0.000  5.12

---

Ti3AlZn4 | PBE-GGA | relaxed

## Properties
Space-group type ... Immm, No. 71
ΔH_f (0 K) ... -79.5 meV/atom
Raw total energy ... -33.2 eV per formula unit

Lattice parameters (Å, degrees): 2.725 9.136 7.016 130.62 101.20 90.00
Positions (direct):
Zn  0.371  0.619  0.742
Zn  0.629  0.381  0.258
Zn  0.629  0.877  0.258
Zn  0.371  0.123  0.742
Al  0.500  0.000  0.000
Ti  0.239  0.239  0.479
Ti  0.761  0.761  0.521
Ti  0.000  0.500  0.000

---

Ce2InTe | PBE-GGA | relaxed

## Properties
E above lowest polymorph ... 0.0 meV/atom
Space-group type ... P4/mmm, No. 123
Raw formation energy ... -0.734 eV per atom
Raw total energy ... -20.7 eV per formula unit

Lattice parameters (Å, degrees): 3.718 3.718 8.316 90.00 90.00 90.00
Site moments in Bohr magnetons follow the coordinates.
Positions (direct):
Te  0.500  0.500  0.000  -0.04
Ce  0.000  0.000  0.762  0.96
Ce  0.000  0.000  0.238  0.96
In  0.500  0.500  0.500  -0.03

---

SrDyAu | PBE-GGA | relaxed

## Properties
E above lowest polymorph ... 42.2 meV/atom
Space-group type ... I4mm, No. 107
ΔH_f (0 K) ... -507.9 meV/atom
Raw total energy ... -11.1 eV per formula unit

Lattice parameters (Å, degrees): 3.766 3.766 7.149 105.27 105.27 90.00
Positions (direct):
Sr  0.021  0.021  0.042
Au  0.689  0.689  0.377
Dy  0.290  0.290  0.580